# GGA-PBE Y3Ge2Ru, relaxed
data_Y3Ge2Ru
_cell_length_a 11.766
_cell_length_b 4.203
_cell_length_c 11.267
_cell_angle_alpha 90.00
_cell_angle_beta 90.00
_cell_angle_gamma 90.00
_space_group_name_H-M_alt 'P n m a'
_space_group_IT_number 62
loop_
_space_group_symop_operation_xyz
'x,y,z'
'-x,-y,-z'
'-x+1/2,-y,z+1/2'
'x+1/2,y,-z+1/2'
'x+1/2,-y+1/2,-z+1/2'
'-x+1/2,y+1/2,z+1/2'
'-x,y+1/2,-z'
'x,-y+1/2,z'
loop_
_atom_site_label
_atom_site_type_symbol
_atom_site_fract_x
_atom_site_fract_y
_atom_site_fract_z
_atom_site_occupancy
Y1 Y 0.056 0.250 0.127 1
Y2 Y 0.122 0.750 0.555 1
Y3 Y 0.224 0.250 0.797 1
Ge1 Ge 0.011 0.750 0.311 1
Ge2 Ge 0.190 0.750 0.998 1
Ru1 Ru 0.130 0.250 0.368 1
# E: -7.0562 eV per atom
# E_form: -0.739 eV/atom

***

# GGA-PBE Y2GeRu2, relaxed
data_Y2GeRu2
_cell_length_a 4.026
_cell_length_b 5.793
_cell_length_c 8.681
_cell_angle_alpha 90.00
_cell_angle_beta 90.00
_cell_angle_gamma 90.00
_space_group_name_H-M_alt 'I m m m'
_space_group_IT_number 71
_space_group_name_Hall '-I 2 2'
loop_
_atom_site_label
_atom_site_type_symbol
_atom_site_fract_x
_atom_site_fract_y
_atom_site_fract_z
_atom_site_occupancy
Y1 Y 0.000 0.000 0.208 1
Ge1 Ge 0.000 0.500 0.000 1
Ru1 Ru 0.000 0.275 0.500 1
# E: -7.7261 eV per atom
# E_form: -0.507 eV/atom

***

# GGA-PBE YGeRu2, relaxed
data_YGeRu2
_cell_length_a 5.503
_cell_length_b 4.343
_cell_length_c 6.272
_cell_angle_alpha 90.00
_cell_angle_beta 95.19
_cell_angle_gamma 90.00
_space_group_name_H-M_alt 'P 1 2/m 1'
_space_group_IT_number 10
loop_
_space_group_symop_operation_xyz
'x,y,z'
'-x,-y,-z'
'-x,y,-z'
'x,-y,z'
loop_
_atom_site_label
_atom_site_type_symbol
_atom_site_fract_x
_atom_site_fract_y
_atom_site_fract_z
_atom_site_occupancy
Y1 Y 0.225 0.000 0.297 1
Ge1 Ge 0.213 0.500 0.651 1
Ru1 Ru 0.000 0.500 0.000 1
Ru2 Ru 0.298 0.000 0.836 1
Ru3 Ru 0.500 0.500 0.000 1
# E: -7.7543 eV per atom
# E_form: -0.346 eV/atom

***

# GGA-PBE YGe3Ru, relaxed
data_YGe3Ru
_cell_length_a 6.135
_cell_length_b 5.697
_cell_length_c 5.708
_cell_angle_alpha 90.00
_cell_angle_beta 90.00
_cell_angle_gamma 90.00
_space_group_name_H-M_alt 'P m n 21'
_space_group_IT_number 31
loop_
_space_group_symop_operation_xyz
'x,y,z'
'-x+1/2,-y,z+1/2'
'-x,y,z'
'x+1/2,-y,z+1/2'
loop_
_atom_site_label
_atom_site_type_symbol
_atom_site_fract_x
_atom_site_fract_y
_atom_site_fract_z
_atom_site_occupancy
Y1 Y 0.000 0.140 0.000 1
Ge1 Ge 0.000 0.915 0.548 1
Ge2 Ge 0.234 0.326 0.456 1
Ru1 Ru 0.000 0.616 0.262 1
# E: -6.3567 eV per atom
# E_form: -0.438 eV/atom

***

# GGA-PBE YGe4Ru4, relaxed
data_YGe4Ru4
_cell_length_a 6.090
_cell_length_b 6.090
_cell_length_c 8.240
_cell_angle_alpha 90.00
_cell_angle_beta 90.00
_cell_angle_gamma 90.00
_space_group_name_H-M_alt 'P 42/n m c'
_space_group_IT_number 137
loop_
_space_group_symop_operation_xyz
'x,y,z'
'-x,-y,-z'
'-y+1/2,x,z+1/2'
'y+1/2,-x,-z+1/2'
'-x+1/2,-y+1/2,z'
'x+1/2,y+1/2,-z'
'y,-x+1/2,z+1/2'
'-y,x+1/2,-z+1/2'
'x+1/2,-y,-z'
'-x+1/2,y,z'
'-y,-x,-z+1/2'
'y,x,z+1/2'
'-x,y+1/2,-z'
'x,-y+1/2,z'
'y+1/2,x+1/2,-z+1/2'
'-y+1/2,-x+1/2,z+1/2'
loop_
_atom_site_label
_atom_site_type_symbol
_atom_site_fract_x
_atom_site_fract_y
_atom_site_fract_z
_atom_site_occupancy
Y1 Y 0.250 0.750 0.250 1
Ge1 Ge 0.042 0.250 0.066 1
Ru1 Ru 0.012 0.250 0.366 1
# E: -7.2127 eV per atom
# E_form: -0.320 eV/atom

***

# GGA-PBE Y3Ge13Ru4, relaxed
data_Y3Ge13Ru4
_cell_length_a 9.051
_cell_length_b 9.051
_cell_length_c 9.051
_cell_angle_alpha 90.00
_cell_angle_beta 90.00
_cell_angle_gamma 90.00
_space_group_name_H-M_alt 'P m -3 n'
_space_group_IT_number 223
_space_group_name_Hall '-P 4n 2 3'
loop_
_atom_site_label
_atom_site_type_symbol
_atom_site_fract_x
_atom_site_fract_y
_atom_site_fract_z
_atom_site_occupancy
Y1 Y 0.000 0.250 0.500 1
Ge1 Ge 0.000 0.000 0.000 1
Ge2 Ge 0.000 0.300 0.147 1
Ru1 Ru 0.250 0.250 0.250 1
# E: -6.2763 eV per atom
# E_form: -0.450 eV/atom

***

# GGA-PBE ZnGeRu2, relaxed
data_ZnGeRu2
_cell_length_a 2.9070
_cell_length_b 2.9070
_cell_length_c 23.7912
_cell_angle_alpha 90.00
_cell_angle_beta 90.00
_cell_angle_gamma 120.00
_space_group_name_H-M_alt 'R -3 m'
_space_group_IT_number 166
_space_group_name_Hall '-R 3 2"'
loop_
_atom_site_label
_atom_site_type_symbol
_atom_site_fract_x
_atom_site_fract_y
_atom_site_fract_z
_atom_site_occupancy
Zn1 Zn 0.0000 0.0000 0.0000 1
Ge1 Ge 0.0000 0.0000 0.5000 1
Ru1 Ru 0.0000 0.0000 0.2459 1
# E: -6.1206 eV per atom
# E_form: -0.010 eV/atom

***

# GGA-PBE ZnGeRu2, relaxed
data_ZnGeRu2
_cell_length_a 5.024
_cell_length_b 2.906
_cell_length_c 8.109
_cell_angle_alpha 90.00
_cell_angle_beta 101.82
_cell_angle_gamma 90.00
_space_group_name_H-M_alt 'C 1 m 1'
_space_group_IT_number 8
loop_
_space_group_symop_operation_xyz
'x,y,z'
'x,-y,z'
'x+1/2,y+1/2,z'
'x+1/2,-y+1/2,z'
loop_
_atom_site_label
_atom_site_type_symbol
_atom_site_fract_x
_atom_site_fract_y
_atom_site_fract_z
_atom_site_occupancy
Zn1 Zn 0.000 0.000 0.000 1
Ge1 Ge 0.167 0.000 0.500 1
Ru1 Ru 0.079 0.500 0.738 1
Ru2 Ru 0.254 0.500 0.263 1
# E: -6.1345 eV per atom
# E_form: -0.024 eV/atom

***

# GGA-PBE ZnGe3Ru, relaxed
data_ZnGe3Ru
_cell_length_a 4.804
_cell_length_b 4.804
_cell_length_c 4.804
_cell_angle_alpha 90.00
_cell_angle_beta 90.00
_cell_angle_gamma 90.00
_space_group_name_H-M_alt 'P m -3 m'
_space_group_IT_number 221
_space_group_name_Hall '-P 4 2 3'
loop_
_atom_site_label
_atom_site_type_symbol
_atom_site_fract_x
_atom_site_fract_y
_atom_site_fract_z
_atom_site_occupancy
Zn1 Zn 0.000 0.000 0.000 1
Ge1 Ge 0.000 0.500 0.500 1
Ru1 Ru 0.500 0.500 0.500 1
# E: -4.5565 eV per atom
# E_form: 0.324 eV/atom

***

# GGA-PBE ZnGeRu3, relaxed
data_ZnGeRu3
_cell_length_a 4.521
_cell_length_b 4.521
_cell_length_c 4.521
_cell_angle_alpha 90.00
_cell_angle_beta 90.00
_cell_angle_gamma 90.00
_space_group_name_H-M_alt 'P m -3 m'
_space_group_IT_number 221
_space_group_name_Hall '-P 4 2 3'
loop_
_atom_site_label
_atom_site_type_symbol
_atom_site_fract_x
_atom_site_fract_y
_atom_site_fract_z
_atom_site_occupancy
Zn1 Zn 0.000 0.000 0.000 1
Ge1 Ge 0.500 0.500 0.500 1
Ru1 Ru 0.000 0.500 0.500 1
# E: -5.6899 eV per atom
# E_form: 1.054 eV/atom

***

# GGA-PBE ZnGeRu2, relaxed
data_ZnGeRu2
_cell_length_a 2.796
_cell_length_b 4.289
_cell_length_c 10.821
_cell_angle_alpha 90.00
_cell_angle_beta 90.00
_cell_angle_gamma 90.00
_space_group_name_H-M_alt 'I m m m'
_space_group_IT_number 71
_space_group_name_Hall '-I 2 2'
loop_
_atom_site_label
_atom_site_type_symbol
_atom_site_fract_x
_atom_site_fract_y
_atom_site_fract_z
_atom_site_occupancy
Zn1 Zn 0.000 0.000 0.000 1
Ge1 Ge 0.000 0.000 0.500 1
Ru1 Ru 0.000 0.000 0.282 1
# E: -5.5918 eV per atom
# E_form: 0.519 eV/atom

***

# GGA-PBE ZnGeRu2, relaxed
data_ZnGeRu2
_cell_length_a 4.284
_cell_length_b 4.284
_cell_length_c 3.009
_cell_angle_alpha 90.00
_cell_angle_beta 90.00
_cell_angle_gamma 90.00
_space_group_name_H-M_alt 'P 4/m m m'
_space_group_IT_number 123
_space_group_name_Hall '-P 4 2'
loop_
_atom_site_label
_atom_site_type_symbol
_atom_site_fract_x
_atom_site_fract_y
_atom_site_fract_z
_atom_site_occupancy
Zn1 Zn 0.000 0.000 0.000 1
Ge1 Ge 0.500 0.500 0.000 1
Ru1 Ru 0.000 0.500 0.500 1
# E: -6.2233 eV per atom
# E_form: -0.113 eV/atom

***

# GGA-PBE Zn3GeRu, relaxed
data_Zn3GeRu
_cell_length_a 4.753
_cell_length_b 4.753
_cell_length_c 4.753
_cell_angle_alpha 90.00
_cell_angle_beta 90.00
_cell_angle_gamma 90.00
_space_group_name_H-M_alt 'P m -3 m'
_space_group_IT_number 221
_space_group_name_Hall '-P 4 2 3'
loop_
_atom_site_label
_atom_site_type_symbol
_atom_site_fract_x
_atom_site_fract_y
_atom_site_fract_z
_atom_site_occupancy
Zn1 Zn 0.000 0.000 0.500 1
Ge1 Ge 0.500 0.500 0.500 1
Ru1 Ru 0.000 0.000 0.000 1
# E: -2.8982 eV per atom
# E_form: 0.645 eV/atom

***

# GGA-PBE ZnGe2Ru, relaxed
data_ZnGe2Ru
_cell_length_a 6.014
_cell_length_b 6.014
_cell_length_c 9.866
_cell_angle_alpha 90.00
_cell_angle_beta 90.00
_cell_angle_gamma 90.00
_space_group_name_H-M_alt 'I -4 2 d'
_space_group_IT_number 122
_space_group_name_Hall 'I -4 2bw'
loop_
_atom_site_label
_atom_site_type_symbol
_atom_site_fract_x
_atom_site_fract_y
_atom_site_fract_z
_atom_site_occupancy
Zn1 Zn 0.000 0.000 0.000 1
Ge1 Ge 0.225 0.250 0.625 1
Ru1 Ru 0.000 0.000 0.500 1
# E: -4.5191 eV per atom
# E_form: 0.427 eV/atom

***

# GGA-PBE ZnGe2Ru, relaxed
data_ZnGe2Ru
_cell_length_a 3.0459
_cell_length_b 3.0459
_cell_length_c 24.3878
_cell_angle_alpha 90.00
_cell_angle_beta 90.00
_cell_angle_gamma 120.00
_space_group_name_H-M_alt 'R 3 m'
_space_group_IT_number 160
_space_group_name_Hall 'R 3 -2"'
loop_
_atom_site_label
_atom_site_type_symbol
_atom_site_fract_x
_atom_site_fract_y
_atom_site_fract_z
_atom_site_occupancy
Zn1 Zn 0.0000 0.0000 0.0000 1
Ge1 Ge 0.0000 0.0000 0.2428 1
Ge2 Ge 0.0000 0.0000 0.4242 1
Ru1 Ru 0.0000 0.0000 0.8341 1
# E: -4.9342 eV per atom
# E_form: 0.012 eV/atom

***

# GGA-PBE ZnGeRu2, relaxed
data_ZnGeRu2
_cell_length_a 6.760
_cell_length_b 6.760
_cell_length_c 5.511
_cell_angle_alpha 90.00
_cell_angle_beta 90.00
_cell_angle_gamma 90.00
_space_group_name_H-M_alt 'I -4 2 d'
_space_group_IT_number 122
_space_group_name_Hall 'I -4 2bw'
loop_
_atom_site_label
_atom_site_type_symbol
_atom_site_fract_x
_atom_site_fract_y
_atom_site_fract_z
_atom_site_occupancy
Zn1 Zn 0.000 0.000 0.000 1
Ge1 Ge 0.000 0.000 0.500 1
Ru1 Ru 0.228 0.750 0.625 1
# E: -5.7305 eV per atom
# E_form: 0.380 eV/atom

***

# GGA-PBE ZnGe2Ru, relaxed
data_ZnGe2Ru
_cell_length_a 3.0317
_cell_length_b 3.0317
_cell_length_c 25.7186
_cell_angle_alpha 90.00
_cell_angle_beta 90.00
_cell_angle_gamma 120.00
_space_group_name_H-M_alt 'R -3 m'
_space_group_IT_number 166
_space_group_name_Hall '-R 3 2"'
loop_
_atom_site_label
_atom_site_type_symbol
_atom_site_fract_x
_atom_site_fract_y
_atom_site_fract_z
_atom_site_occupancy
Zn1 Zn 0.0000 0.0000 0.0000 1
Ge1 Ge 0.0000 0.0000 0.0954 1
Ru1 Ru 0.0000 0.0000 0.5000 1
# E: -4.9812 eV per atom
# E_form: -0.035 eV/atom

***

# GGA-PBE ZnGe2Ru2, relaxed
data_ZnGe2Ru2
_cell_length_a 7.132
_cell_length_b 7.132
_cell_length_c 3.093
_cell_angle_alpha 90.00
_cell_angle_beta 90.00
_cell_angle_gamma 90.00
_space_group_name_H-M_alt 'P 4/m b m'
_space_group_IT_number 127
_space_group_name_Hall '-P 4 2ab'
loop_
_atom_site_label
_atom_site_type_symbol
_atom_site_fract_x
_atom_site_fract_y
_atom_site_fract_z
_atom_site_occupancy
Zn1 Zn 0.000 0.000 0.000 1
Ge1 Ge 0.150 0.350 0.500 1
Ru1 Ru 0.148 0.648 0.000 1
# E: -5.9786 eV per atom
# E_form: -0.166 eV/atom

***

# GGA-PBE Zn3GeRu, relaxed
data_Zn3GeRu
_cell_length_a 4.637
_cell_length_b 4.637
_cell_length_c 4.637
_cell_angle_alpha 90.00
_cell_angle_beta 90.00
_cell_angle_gamma 90.00
_space_group_name_H-M_alt 'P m -3 m'
_space_group_IT_number 221
_space_group_name_Hall '-P 4 2 3'
loop_
_atom_site_label
_atom_site_type_symbol
_atom_site_fract_x
_atom_site_fract_y
_atom_site_fract_z
_atom_site_occupancy
Zn1 Zn 0.000 0.000 0.500 1
Ge1 Ge 0.000 0.000 0.000 1
Ru1 Ru 0.500 0.500 0.500 1
# E: -2.4658 eV per atom
# E_form: 1.077 eV/atom

***

# GGA-PBE ZnGe3Ru, relaxed
data_ZnGe3Ru
_cell_length_a 4.741
_cell_length_b 4.741
_cell_length_c 4.741
_cell_angle_alpha 90.00
_cell_angle_beta 90.00
_cell_angle_gamma 90.00
_space_group_name_H-M_alt 'P m -3 m'
_space_group_IT_number 221
_space_group_name_Hall '-P 4 2 3'
loop_
_atom_site_label
_atom_site_type_symbol
_atom_site_fract_x
_atom_site_fract_y
_atom_site_fract_z
_atom_site_occupancy
Zn1 Zn 0.000 0.000 0.000 1
Ge1 Ge 0.000 0.000 0.500 1
Ru1 Ru 0.500 0.500 0.500 1
# E: -3.7346 eV per atom
# E_form: 1.146 eV/atom